# GGA-PBE CaSN2F, optimized geometry
data_CaSN2F
_chemical_formula_sum 'Ca1 S1 N2 F1'
_cell_length_a 4.868
_cell_length_b 4.868
_cell_length_c 4.201
_cell_angle_alpha 90.00
_cell_angle_beta 90.00
_cell_angle_gamma 90.00
_symmetry_space_group_name_H-M 'P 4/m m m'
_symmetry_Int_Tables_number 123
_symmetry_space_group_name_Hall '-P 4 2'
loop_
_atom_site_label
_atom_site_type_symbol
_atom_site_fract_x
_atom_site_fract_y
_atom_site_fract_z
Ca1 Ca 0.000 0.000 0.000
S1 S 0.500 0.500 0.500
N1 N 0.000 0.500 0.000
F1 F 0.000 0.000 0.500
# Energy above the most stable polymorph in this dataset   1.065 eV per atom
# ΔE_f (raw)   0.89 eV per atom
# Calculated volume   100 Å³/cell
# Density   1987 kg/m3